Crystalline Mg2MnCu at its relaxed geometry. Source: Alexandria via LeMat-Bulk, functional GGA-PBE.

Properties
Offset from the most stable computed form, eV/f.u.: 0.29
Final energy, eV for the cell shown: -15.8
Theoretical density, Mg/m³: 4.10
N(E_F), states/eV per cell: 2.9
ΔH_f (0 K), eV/atom: 0.174
M_tot, μB/f.u.: 3.66
Space-group type: Pm

Unit cell a=2.894 b=4.457 c=5.322 alpha=90.00 beta=99.69 gamma=90.00
Fractional coordinates of all 4 atoms:
Mg: 0.000 0.000 0.000
Mg: 0.232 0.500 0.672
Mn: 0.620 0.500 0.207
Cu: 0.602 0.000 0.463